1.
First-principles (GGA-PBE) data for a relaxed Nb2Tc2O5 crystal, as listed in OQMD.

```
Nb2Tc2O5
1.0
3.719 0.000 0.000
0.000 3.719 0.000
0.000 0.000 7.003
Nb Tc O
2 2 5
Direct
0.000 0.000 0.000
0.000 0.000 0.500
0.500 0.500 0.187
0.500 0.500 0.813
0.000 0.500 0.286
0.000 0.500 0.714
0.500 0.000 0.286
0.500 0.000 0.714
0.500 0.500 0.500
```

* crystal system: tetragonal
* energy above the lowest structure with this stoichiometry: 65 meV/atom
* E: -72.82 eV per cell



2.
First-principles (GGA-PBE) data for a relaxed YZrPO crystal, as listed in OQMD.

```
YZrPO
1.0
5.079 0.000 0.000
0.000 4.118 0.000
0.000 0.000 7.253
Y Zr P O
2 2 2 2
Direct
0.250 0.000 0.149
0.750 0.000 0.851
0.250 0.500 0.743
0.750 0.500 0.257
0.250 0.500 0.383
0.750 0.500 0.617
0.250 0.000 0.831
0.750 0.000 0.169
```

* crystal system: orthorhombic
* energy above the lowest structure with this stoichiometry: 182 meV/atom
* E: -65.32 eV per cell



3.
First-principles (GGA-PBE) data for a relaxed BaLiErSe3 crystal, as listed in OQMD.

```
BaLiErSe3
1.0
10.677 0.000 0.000
0.000 4.243 0.000
0.000 0.000 14.055
Ba Li Er Se
4 4 4 12
Direct
0.244 0.250 0.003
0.256 0.750 0.503
0.744 0.250 0.497
0.756 0.750 0.997
0.245 0.750 0.778
0.255 0.250 0.278
0.745 0.750 0.722
0.755 0.250 0.222
0.006 0.750 0.252
0.494 0.250 0.752
0.506 0.750 0.248
0.994 0.250 0.748
0.052 0.750 0.880
0.064 0.250 0.383
0.245 0.250 0.681
0.255 0.750 0.181
0.436 0.750 0.883
0.448 0.250 0.380
0.552 0.750 0.620
0.564 0.250 0.117
0.745 0.250 0.819
0.755 0.750 0.319
0.936 0.750 0.617
0.948 0.250 0.120
```

* crystal system: orthorhombic
* energy above the lowest structure with this stoichiometry: 0 meV/atom
* E: -119.29 eV per cell



4.
First-principles (GGA-PBE) data for a relaxed NaHoZnSe3 crystal, as listed in OQMD.

```
NaHoZnSe3
1.0
11.449 0.000 0.000
0.000 4.110 0.000
0.000 0.000 12.339
Na Ho Zn Se
4 4 4 12
Direct
0.168 0.250 0.001
0.332 0.750 0.501
0.668 0.250 0.499
0.832 0.750 0.999
0.022 0.250 0.313
0.478 0.750 0.813
0.522 0.250 0.187
0.978 0.750 0.687
0.249 0.250 0.709
0.251 0.750 0.209
0.749 0.250 0.791
0.751 0.750 0.291
0.048 0.750 0.149
0.098 0.250 0.570
0.224 0.750 0.824
0.276 0.250 0.324
0.402 0.750 0.070
0.452 0.250 0.649
0.548 0.750 0.351
0.598 0.250 0.930
0.724 0.750 0.676
0.776 0.250 0.176
0.902 0.750 0.430
0.952 0.250 0.851
```

* crystal system: orthorhombic
* energy above the lowest structure with this stoichiometry: 42 meV/atom
* E: -101.06 eV per cell



5.
First-principles (GGA-PBE) data for a relaxed ZrPaBi crystal, as listed in OQMD.

```
ZrPaBi
1.0
0.000 3.669 3.669
3.669 0.000 3.669
3.669 3.669 0.000
Zr Pa Bi
1 1 1
Direct
0.000 0.000 0.000
0.750 0.750 0.750
0.500 0.500 0.500
```

* crystal system: cubic
* energy above the lowest structure with this stoichiometry: 394 meV/atom
* E: -19.50 eV per cell



6.
First-principles (GGA-PBE) data for a relaxed RbCu3Sb crystal, as listed in OQMD.

```
RbCu3Sb
1.0
5.067 0.000 0.000
0.000 5.067 0.000
0.000 0.000 5.067
Rb Cu Sb
1 3 1
Direct
0.000 0.000 0.000
0.000 0.500 0.500
0.500 0.000 0.500
0.500 0.500 0.000
0.500 0.500 0.500
```

* crystal system: cubic
* E: -14.52 eV per cell